First-principles (GGA+U) data for a relaxed structure of TiCr3Cd3O8, as listed in Alexandria.

abc: 6.647 6.647 6.481
angles: 117.99 117.99 54.50
Fractional positions:
Ti 0.000 0.000 0.000
Cr 0.000 0.500 0.500
Cr 0.500 0.000 0.500
Cr 0.500 0.500 0.000
Cd 0.000 0.000 0.500
Cd 0.000 0.500 0.000
Cd 0.500 0.000 0.000
O 0.204 0.204 0.246
O 0.214 0.740 0.183
O 0.231 0.231 0.702
O 0.260 0.786 0.817
O 0.740 0.214 0.183
O 0.769 0.769 0.298
O 0.786 0.260 0.817
O 0.796 0.796 0.754

Computed properties:
Uncorrected energy ... -6.46 eV/atom
SG ... No. 12
Total magnetization ... 0.8001 μB/atom